Crystalline ErNb4Si4 at its relaxed geometry. Source: the Alexandria database, functional GGA-PBE.

abc: 8.4211 8.4211 5.0267
angles: 90.00 90.00 90.00
Last column: nearest neighbours and their distance in Å.
Atoms (fractional coordinates):
Er 0.2500 0.2500 0.2500  4 Si 3.05, 4 Nb 3.41
Er 0.7500 0.7500 0.7500  4 Si 3.05, 4 Nb 3.41
Nb 0.1124 0.6238 0.1263  5 Si 2.51-2.64
Nb 0.1238 0.8876 0.6263  5 Si 2.51-2.64
Nb 0.3762 0.6124 0.6263  5 Si 2.51-2.64
Nb 0.3876 0.8762 0.1263  5 Si 2.51-2.64
Nb 0.6124 0.1238 0.8737  5 Si 2.51-2.64
Nb 0.6238 0.3876 0.3737  5 Si 2.51-2.64
Nb 0.8762 0.1124 0.3737  5 Si 2.51-2.64
Nb 0.8876 0.3762 0.8737  5 Si 2.51-2.64
Si 0.0672 0.5896 0.6361  1 Si 2.33, 4 Nb 2.51-2.61
Si 0.0896 0.9328 0.1361  1 Si 2.33, 4 Nb 2.51-2.61
Si 0.4104 0.5672 0.1361  1 Si 2.33, 4 Nb 2.51-2.61
Si 0.4328 0.9104 0.6361  1 Si 2.33, 4 Nb 2.51-2.61
Si 0.5672 0.0896 0.3639  1 Si 2.33, 4 Nb 2.51-2.61
Si 0.5896 0.4328 0.8639  1 Si 2.33, 4 Nb 2.51-2.61
Si 0.9104 0.0672 0.8639  1 Si 2.33, 4 Nb 2.51-2.61
Si 0.9328 0.4104 0.3639  1 Si 2.33, 4 Nb 2.51-2.61

Calculated values
As for the uncorrected formation energy: -0.37 eV per atom. The crystal system is tetragonal.